Pm5Nd3Te8 | PBE | optimized geometry

```
data_Pm5Nd3Te8
_symmetry_space_group_name_H-M 'P 1'
_symmetry_Int_Tables_number 1
_symmetry_space_group_name_Hall 'P 1'
_cell_length_a 8.9533
_cell_length_b 8.9533
_cell_length_c 8.9533
_cell_angle_alpha 60.07
_cell_angle_beta 60.07
_cell_angle_gamma 60.07
loop_
_atom_site_label
_atom_site_type_symbol
_atom_site_fract_x
_atom_site_fract_y
_atom_site_fract_z
_atom_site_occupancy
Pm1 Pm 0.0000 0.0000 0.0000 1
Pm2 Pm 0.0000 0.5000 0.5000 1
Pm3 Pm 0.5000 0.0000 0.5000 1
Pm4 Pm 0.5000 0.5000 0.0000 1
Pm5 Pm 0.5000 0.5000 0.5000 1
Nd1 Nd 0.0000 0.0000 0.5000 1
Nd2 Nd 0.0000 0.5000 0.0000 1
Nd3 Nd 0.5000 0.0000 0.0000 1
Te1 Te 0.2500 0.2500 0.7483 1
Te2 Te 0.2500 0.7483 0.2500 1
Te3 Te 0.2509 0.2509 0.2509 1
Te4 Te 0.2517 0.7500 0.7500 1
Te5 Te 0.7483 0.2500 0.2500 1
Te6 Te 0.7491 0.7491 0.7491 1
Te7 Te 0.7500 0.2517 0.7500 1
Te8 Te 0.7500 0.7500 0.2517 1
```

Calculated values
E_tot = -0.394 Ry per atom
SG = R-3m (166)
Formation energy (no corrections) = -1409 meV per atom